Record 1
# PaNiMo | OQMD | GGA-PBE | optimized geometry
data_PaNiMo
_chemical_formula_sum 'Pa1 Ni1 Mo1'
_cell_length_a 4.364
_cell_length_b 4.364
_cell_length_c 4.364
_cell_angle_alpha 60.00
_cell_angle_beta 60.00
_cell_angle_gamma 60.00
_symmetry_space_group_name_H-M 'P 1'
_symmetry_Int_Tables_number 1
_symmetry_space_group_name_Hall 'P 1'
loop_
_atom_site_label
_atom_site_type_symbol
_atom_site_fract_x
_atom_site_fract_y
_atom_site_fract_z
_atom_site_occupancy
Pa1 Pa 0.000 0.000 0.000 1
Ni1 Ni 0.250 0.250 0.250 1
Mo1 Mo 0.750 0.750 0.750 1
# ΔE_f = 0.6574 eV per atom
# Total DFT energy (no corrections) = -7.9798 eV/atom

***

Record 2
# ErThZn | OQMD | GGA-PBE | optimized geometry
data_ErThZn
_chemical_formula_sum 'Er1 Th1 Zn1'
_cell_length_a 4.953
_cell_length_b 4.953
_cell_length_c 4.953
_cell_angle_alpha 60.00
_cell_angle_beta 60.00
_cell_angle_gamma 60.00
_symmetry_space_group_name_H-M 'P 1'
_symmetry_Int_Tables_number 1
_symmetry_space_group_name_Hall 'P 1'
loop_
_atom_site_label
_atom_site_type_symbol
_atom_site_fract_x
_atom_site_fract_y
_atom_site_fract_z
_atom_site_occupancy
Er1 Er 0.000 0.000 0.000 1
Th1 Th 0.500 0.500 0.500 1
Zn1 Zn 0.250 0.250 0.250 1
# ΔE_f = 0.1273 eV per atom
# Total DFT energy (no corrections) = -4.2864 eV/atom

***

Record 3
# Ho2Ag | OQMD | GGA-PBE | optimized geometry
data_Ho2Ag
_chemical_formula_sum 'Ho4 Ag2'
_cell_length_a 6.149
_cell_length_b 6.149
_cell_length_c 6.149
_cell_angle_alpha 60.00
_cell_angle_beta 60.00
_cell_angle_gamma 60.00
_symmetry_space_group_name_H-M 'P 1'
_symmetry_Int_Tables_number 1
_symmetry_space_group_name_Hall 'P 1'
loop_
_atom_site_label
_atom_site_type_symbol
_atom_site_fract_x
_atom_site_fract_y
_atom_site_fract_z
_atom_site_occupancy
Ho1 Ho 0.000 0.000 0.000 1
Ho2 Ho 0.000 0.000 0.500 1
Ho3 Ho 0.000 0.500 0.000 1
Ho4 Ho 0.500 0.000 0.000 1
Ag1 Ag 0.375 0.375 0.375 1
Ag2 Ag 0.625 0.625 0.625 1
# ΔE_f = 0.4504 eV per atom
# Total DFT energy (no corrections) = -3.5422 eV/atom

***

Record 4
# Tb2Sm2O5 | OQMD | GGA-PBE | optimized geometry
data_Tb2Sm2O5
_chemical_formula_sum 'Tb2 Sm2 O5'
_cell_length_a 3.893
_cell_length_b 3.893
_cell_length_c 9.978
_cell_angle_alpha 90.00
_cell_angle_beta 90.00
_cell_angle_gamma 90.00
_symmetry_space_group_name_H-M 'P 1'
_symmetry_Int_Tables_number 1
_symmetry_space_group_name_Hall 'P 1'
loop_
_atom_site_label
_atom_site_type_symbol
_atom_site_fract_x
_atom_site_fract_y
_atom_site_fract_z
_atom_site_occupancy
Tb1 Tb 0.000 0.000 0.000 1
Tb2 Tb 0.000 0.000 0.500 1
Sm1 Sm 0.500 0.500 0.241 1
Sm2 Sm 0.500 0.500 0.759 1
O1 O 0.000 0.500 0.138 1
O2 O 0.000 0.500 0.862 1
O3 O 0.500 0.000 0.138 1
O4 O 0.500 0.000 0.862 1
O5 O 0.500 0.500 0.500 1
# Total DFT energy (no corrections) = -7.6351 eV/atom

***

Record 5
# Y3Al3SiGeIr | OQMD | GGA-PBE | optimized geometry
data_Y3Al3SiGeIr
_chemical_formula_sum 'Y3 Al3 Si1 Ge1 Ir1'
_cell_length_a 6.957
_cell_length_b 6.957
_cell_length_c 4.224
_cell_angle_alpha 90.00
_cell_angle_beta 90.00
_cell_angle_gamma 120.00
_symmetry_space_group_name_H-M 'P 1'
_symmetry_Int_Tables_number 1
_symmetry_space_group_name_Hall 'P 1'
loop_
_atom_site_label
_atom_site_type_symbol
_atom_site_fract_x
_atom_site_fract_y
_atom_site_fract_z
_atom_site_occupancy
Y1 Y 0.083 0.335 0.000 1
Y2 Y 0.252 0.917 0.000 1
Y3 Y 0.665 0.748 0.000 1
Al1 Al 0.438 0.337 0.500 1
Al2 Al 0.663 0.101 0.500 1
Al3 Al 0.899 0.562 0.500 1
Si1 Si 0.333 0.667 0.500 1
Ge1 Ge 0.000 0.000 0.500 1
Ir1 Ir 0.667 0.333 0.000 1
# Total DFT energy (no corrections) = -6.3868 eV/atom

***

Record 6
# SmTcNO | OQMD | GGA-PBE | optimized geometry
data_SmTcNO
_chemical_formula_sum 'Sm2 Tc2 N2 O2'
_cell_length_a 3.796
_cell_length_b 3.796
_cell_length_c 7.934
_cell_angle_alpha 90.00
_cell_angle_beta 90.00
_cell_angle_gamma 90.00
_symmetry_space_group_name_H-M 'P 1'
_symmetry_Int_Tables_number 1
_symmetry_space_group_name_Hall 'P 1'
loop_
_atom_site_label
_atom_site_type_symbol
_atom_site_fract_x
_atom_site_fract_y
_atom_site_fract_z
_atom_site_occupancy
Sm1 Sm 0.250 0.250 0.154 1
Sm2 Sm 0.750 0.750 0.846 1
Tc1 Tc 0.250 0.750 0.500 1
Tc2 Tc 0.750 0.250 0.500 1
N1 N 0.250 0.250 0.620 1
N2 N 0.750 0.750 0.380 1
O1 O 0.250 0.750 0.000 1
O2 O 0.750 0.250 0.000 1
# Total DFT energy (no corrections) = -8.5102 eV/atom

***

Question: Number 4 is which compound?
Answer: Tb2Sm2O5